Entry 1:
Entry from the Alexandria database: a geometry-optimized Ac2LaGe3Pd12 structure (PBE).

Formation energy ... -8.82 eV per formula unit
Magnetic moment ... 0.0 μB/f.u.

```
data_Ac2LaGe3Pd12
_space_group_name_H-M_alt 'R -3 m'
_space_group_IT_number 166
_space_group_name_Hall '-R 3 2"'
_cell_length_a 9.5425
_cell_length_b 9.5425
_cell_length_c 13.3517
_cell_angle_alpha 90.00
_cell_angle_beta 90.00
_cell_angle_gamma 120.00
loop_
_atom_site_label
_atom_site_type_symbol
_atom_site_fract_x
_atom_site_fract_y
_atom_site_fract_z
Ac1 Ac 0.0000 0.0000 0.1478
La1 La 0.0000 0.0000 0.5000
Ge1 Ge 0.0000 0.5000 0.0000
Pd1 Pd 0.9995 0.4998 0.1867
Pd2 Pd 0.0252 0.5126 0.3895
```


Entry 2:
Entry from the Alexandria database: a geometry-optimized Ac2LaGe3Pd4 structure (PBE).

Formation energy ... -8.17 eV per formula unit
Magnetic moment ... 0.0 μB/f.u.

```
data_Ac2LaGe3Pd4
_space_group_name_H-M_alt 'P -4 m 2'
_space_group_IT_number 115
_cell_length_a 4.496
_cell_length_b 4.496
_cell_length_c 11.296
_cell_angle_alpha 90.00
_cell_angle_beta 90.00
_cell_angle_gamma 90.00
loop_
_space_group_symop_operation_xyz
'x,y,z'
'y,-x,-z'
'-x,-y,z'
'-y,x,-z'
'-x,y,z'
'-y,-x,-z'
'x,-y,z'
'y,x,-z'
loop_
_atom_site_label
_atom_site_type_symbol
_atom_site_fract_x
_atom_site_fract_y
_atom_site_fract_z
Ac1 Ac 0.000 0.500 0.221
La1 La 0.000 0.000 0.500
Ge1 Ge 0.000 0.500 0.885
Ge2 Ge 0.500 0.500 0.500
Pd1 Pd 0.000 0.000 0.000
Pd2 Pd 0.000 0.500 0.662
Pd3 Pd 0.500 0.500 0.000
```


Entry 3:
Entry from the Alexandria database: a geometry-optimized Ac2LaGe2Pd7 structure (PBE).

Formation energy ... -9.61 eV per formula unit
Magnetic moment ... 0.0 μB/f.u.

```
data_Ac2LaGe2Pd7
_space_group_name_H-M_alt 'C 1 2/m 1'
_space_group_IT_number 12
_cell_length_a 6.135
_cell_length_b 6.041
_cell_length_c 14.036
_cell_angle_alpha 90.00
_cell_angle_beta 97.75
_cell_angle_gamma 90.00
loop_
_space_group_symop_operation_xyz
'x,y,z'
'-x,-y,-z'
'-x,y,-z'
'x,-y,z'
'x+1/2,y+1/2,z'
'-x+1/2,-y+1/2,-z'
'-x+1/2,y+1/2,-z'
'x+1/2,-y+1/2,z'
loop_
_atom_site_label
_atom_site_type_symbol
_atom_site_fract_x
_atom_site_fract_y
_atom_site_fract_z
Ac1 Ac 0.103 0.000 0.353
La1 La 0.000 0.000 0.000
Ge1 Ge 0.078 0.500 0.244
Pd1 Pd 0.000 0.500 0.000
Pd2 Pd 0.117 0.500 0.425
Pd3 Pd 0.202 0.251 0.848
```


Entry 4:
Entry from the Alexandria database: a geometry-optimized AcLa2Ge2Pd2 structure (PBE).

Formation energy ... -5.73 eV per formula unit
Magnetic moment ... 0.0 μB/f.u.

```
data_AcLa2Ge2Pd2
_space_group_name_H-M_alt 'R -3 m'
_space_group_IT_number 166
_space_group_name_Hall '-R 3 2"'
_cell_length_a 4.5901
_cell_length_b 4.5901
_cell_length_c 29.1733
_cell_angle_alpha 90.00
_cell_angle_beta 90.00
_cell_angle_gamma 120.00
loop_
_atom_site_label
_atom_site_type_symbol
_atom_site_fract_x
_atom_site_fract_y
_atom_site_fract_z
Ac1 Ac 0.0000 0.0000 0.0000
La1 La 0.0000 0.0000 0.1280
Ge1 Ge 0.0000 0.0000 0.2560
Pd1 Pd 0.0000 0.0000 0.4031
```


Entry 5:
Entry from the Alexandria database: a geometry-optimized AcLaGe2Pd2 structure (PBE).

Formation energy ... -5.50 eV per formula unit
Magnetic moment ... 0.0 μB/f.u.

```
data_AcLaGe2Pd2
_space_group_name_H-M_alt 'P -3 m 1'
_space_group_IT_number 164
_space_group_name_Hall '-P 3 2"'
_cell_length_a 4.3947
_cell_length_b 4.3947
_cell_length_c 8.6606
_cell_angle_alpha 90.00
_cell_angle_beta 90.00
_cell_angle_gamma 120.00
loop_
_atom_site_label
_atom_site_type_symbol
_atom_site_fract_x
_atom_site_fract_y
_atom_site_fract_z
Ac1 Ac 0.0000 0.0000 0.0000
La1 La 0.0000 0.0000 0.5000
Ge1 Ge 0.3333 0.6667 0.2608
Pd1 Pd 0.3333 0.6667 0.7432
```


Entry 6:
Entry from the Alexandria database: a geometry-optimized AcLaGe2Pd5 structure (PBE).

Formation energy ... -7.26 eV per formula unit
Magnetic moment ... 0.0 μB/f.u.

```
data_AcLaGe2Pd5
_space_group_name_H-M_alt 'P 4/m m m'
_space_group_IT_number 123
_space_group_name_Hall '-P 4 2'
_cell_length_a 4.451
_cell_length_b 4.451
_cell_length_c 9.087
_cell_angle_alpha 90.00
_cell_angle_beta 90.00
_cell_angle_gamma 90.00
loop_
_atom_site_label
_atom_site_type_symbol
_atom_site_fract_x
_atom_site_fract_y
_atom_site_fract_z
Ac1 Ac 0.000 0.000 0.000
La1 La 0.000 0.000 0.500
Ge1 Ge 0.500 0.500 0.360
Pd1 Pd 0.000 0.500 0.232
Pd2 Pd 0.500 0.500 0.000
```


What is the formation energy in the second record? -8.17 eV per formula unit


Copy entry 5 word for word.
Entry from the Alexandria database: a geometry-optimized AcLaGe2Pd2 structure (PBE).

Formation energy ... -5.50 eV per formula unit
Magnetic moment ... 0.0 μB/f.u.

```
data_AcLaGe2Pd2
_space_group_name_H-M_alt 'P -3 m 1'
_space_group_IT_number 164
_space_group_name_Hall '-P 3 2"'
_cell_length_a 4.3947
_cell_length_b 4.3947
_cell_length_c 8.6606
_cell_angle_alpha 90.00
_cell_angle_beta 90.00
_cell_angle_gamma 120.00
loop_
_atom_site_label
_atom_site_type_symbol
_atom_site_fract_x
_atom_site_fract_y
_atom_site_fract_z
Ac1 Ac 0.0000 0.0000 0.0000
La1 La 0.0000 0.0000 0.5000
Ge1 Ge 0.3333 0.6667 0.2608
Pd1 Pd 0.3333 0.6667 0.7432
```